No. 1
Compound: Sc3B4Ir
Source: OQMD via LeMat-Bulk
Functional: PBE-GGA
Structure: optimized geometry

Calculated values
The total DFT energy (no corrections) comes out at -7.28 eV/atom.

a = 6.903 Å, b = 6.903 Å, c = 5.987 Å
α = 97.46°, β = 97.46°, γ = 128.61°
Positions (direct):
1 Ir 0.270 0.270 0.769
2 Sc 0.815 0.185 0.500
3 B 0.545 0.297 0.588
4 Sc 0.311 0.689 0.000
5 Sc 0.689 0.311 0.000
6 Sc 0.756 0.756 0.743
7 B 0.703 0.455 0.412
8 B 0.210 0.966 0.921
9 B 0.966 0.210 0.921
10 B 0.790 0.034 0.079
11 Sc 0.244 0.244 0.257
12 B 0.297 0.545 0.588
13 B 0.455 0.703 0.412
14 Sc 0.185 0.815 0.500
15 B 0.034 0.790 0.079
16 Ir 0.730 0.730 0.231

=====

No. 2
Compound: ScB2Ir2
Source: OQMD via LeMat-Bulk
Functional: PBE-GGA
Structure: optimized geometry

Calculated values
The total DFT energy (no corrections) comes out at -8.17 eV/atom.

a = 5.034 Å, b = 5.034 Å, c = 5.034 Å
α = 135.30°, β = 135.30°, γ = 65.06°
Positions (direct):
1 B 0.386 0.386 0.000
2 Sc 0.000 0.000 0.000
3 B 0.614 0.614 0.000
4 Ir 0.750 0.250 0.500
5 Ir 0.250 0.750 0.500

=====

No. 3
Compound: Sc3B4Ir
Source: OQMD via LeMat-Bulk
Functional: PBE-GGA
Structure: optimized geometry

Calculated values
The total DFT energy (no corrections) comes out at -7.28 eV/atom.

a = 6.869 Å, b = 6.869 Å, c = 6.869 Å
α = 149.77°, β = 138.87°, γ = 51.88°
Positions (direct):
1 B 0.543 0.877 0.666
2 B 0.211 0.877 0.334
3 Sc 0.186 0.686 0.500
4 B 0.457 0.123 0.334
5 B 0.789 0.123 0.666
6 Ir 0.000 0.000 0.000
7 Sc 0.500 0.500 0.000
8 Sc 0.814 0.314 0.500

=====

No. 4
Compound: ScB2Ir
Source: OQMD via LeMat-Bulk
Functional: PBE-GGA
Structure: optimized geometry

Calculated values
The total DFT energy (no corrections) comes out at -6.43 eV/atom.

a = 4.097 Å, b = 4.097 Å, c = 4.097 Å
α = 60.00°, β = 60.00°, γ = 60.00°
Positions (direct):
1 B 0.500 0.500 0.500
2 Ir 0.000 0.000 0.000
3 Sc 0.750 0.750 0.750
4 B 0.250 0.250 0.250

=====

No. 5
Compound: Sc2SiB2Ir5
Source: OQMD via LeMat-Bulk
Functional: PBE-GGA
Structure: optimized geometry

Calculated values
The total DFT energy (no corrections) comes out at -8.43 eV/atom.

a = 9.243 Å, b = 9.243 Å, c = 3.126 Å
α = 90.00°, β = 90.00°, γ = 90.00°
Positions (direct):
1 Sc 0.325 0.825 0.000
2 Ir 0.930 0.213 0.500
3 B 0.124 0.624 0.000
4 Ir 0.787 0.930 0.500
5 Si 0.500 0.500 0.000
6 B 0.876 0.376 0.000
7 B 0.376 0.124 0.000
8 Sc 0.675 0.175 0.000
9 Ir 0.070 0.787 0.500
10 Sc 0.825 0.675 0.000
11 Ir 0.000 0.500 0.500
12 Ir 0.570 0.713 0.500
13 Sc 0.175 0.325 0.000
14 Ir 0.430 0.287 0.500
15 Ir 0.213 0.070 0.500
16 Ir 0.713 0.430 0.500
17 Ir 0.287 0.570 0.500
18 Ir 0.500 0.000 0.500
19 Si 0.000 0.000 0.000
20 B 0.624 0.876 0.000

=====

No. 6
Compound: Si2BIr
Source: OQMD via LeMat-Bulk
Functional: PBE-GGA
Structure: optimized geometry

Calculated values
The total DFT energy (no corrections) comes out at -6.03 eV/atom.

a = 4.112 Å, b = 4.112 Å, c = 4.112 Å
α = 60.00°, β = 60.00°, γ = 60.00°
Positions (direct):
1 Si 0.750 0.750 0.750
2 B 0.500 0.500 0.500
3 Ir 0.250 0.250 0.250
4 Si 0.000 0.000 0.000

=====

No. 7
Compound: Si3BIr
Source: OQMD via LeMat-Bulk
Functional: PBE-GGA
Structure: optimized geometry

Calculated values
The total DFT energy (no corrections) comes out at -5.71 eV/atom.

a = 5.660 Å, b = 5.660 Å, c = 4.916 Å
α = 90.00°, β = 90.00°, γ = 120.01°
Positions (direct):
1 Si 0.000 0.500 0.742
2 Ir 0.000 0.000 0.500
3 Si 0.500 0.000 0.742
4 Ir 0.000 0.000 0.000
5 B 0.667 0.333 0.000
6 Si 0.500 0.500 0.742
7 Si 0.500 0.000 0.258
8 Si 0.500 0.500 0.258
9 Si 0.000 0.500 0.258
10 B 0.333 0.667 0.000

=====

No. 8
Compound: SmBIr
Source: OQMD via LeMat-Bulk
Functional: PBE-GGA
Structure: optimized geometry

Calculated values
For the energy above the lowest structure with this stoichiometry, the calculation gives 0.000 eV/atom.

a = 4.201 Å, b = 4.201 Å, c = 4.201 Å
α = 60.00°, β = 60.00°, γ = 60.00°
Positions (direct):
1 Ir 0.250 0.250 0.250
2 B 0.000 0.000 0.000
3 Sm 0.750 0.750 0.750

=====

No. 9
Compound: SmBIr
Source: OQMD via LeMat-Bulk
Functional: PBE-GGA
Structure: optimized geometry

Calculated values
For the energy above the lowest structure with this stoichiometry, the calculation gives 0.394 eV/atom.

a = 4.374 Å, b = 4.374 Å, c = 4.374 Å
α = 60.00°, β = 60.00°, γ = 60.00°
Positions (direct):
1 Ir 0.250 0.250 0.250
2 Sm 0.500 0.500 0.500
3 B 0.000 0.000 0.000

=====

No. 10
Compound: SmBIr
Source: OQMD via LeMat-Bulk
Functional: PBE-GGA
Structure: optimized geometry

Calculated values
For the energy above the lowest structure with this stoichiometry, the calculation gives 1.003 eV/atom.

a = 4.491 Å, b = 4.491 Å, c = 4.491 Å
α = 60.00°, β = 60.00°, γ = 60.00°
Positions (direct):
1 Sm 0.000 0.000 0.000
2 Ir 0.750 0.750 0.750
3 B 0.250 0.250 0.250

=====

No. 11
Compound: SnBIr2
Source: OQMD via LeMat-Bulk
Functional: PBE-GGA
Structure: optimized geometry

Calculated values
The total DFT energy (no corrections) comes out at -7.11 eV/atom.

a = 3.026 Å, b = 3.026 Å, c = 7.245 Å
α = 90.00°, β = 90.00°, γ = 120.00°
Positions (direct):
1 Ir 0.667 0.333 0.809
2 Sn 0.000 0.000 0.500
3 Ir 0.667 0.333 0.191
4 B 0.333 0.667 0.000

=====

No. 12
Compound: SnBIr3
Source: OQMD via LeMat-Bulk
Functional: PBE-GGA
Structure: optimized geometry

Calculated values
The total DFT energy (no corrections) comes out at -7.49 eV/atom.

a = 5.823 Å, b = 5.823 Å, c = 4.326 Å
α = 90.00°, β = 90.00°, γ = 90.00°
Positions (direct):
1 Ir 0.811 0.311 0.000
2 Sn 0.000 0.500 0.500
3 Sn 0.500 0.000 0.500
4 Ir 0.311 0.189 0.000
5 Ir 0.689 0.811 0.000
6 B 0.500 0.500 0.000
7 Ir 0.189 0.689 0.000
8 Ir 0.000 0.000 0.500
9 Ir 0.500 0.500 0.500
10 B 0.000 0.000 0.000

=====

No. 13
Compound: Sn4B3Ir7
Source: OQMD via LeMat-Bulk
Functional: PBE-GGA
Structure: optimized geometry

Calculated values
The total DFT energy (no corrections) comes out at -7.28 eV/atom.

a = 9.372 Å, b = 9.372 Å, c = 5.689 Å
α = 90.00°, β = 90.00°, γ = 120.00°
Positions (direct):
1 Ir 0.123 0.354 0.501
2 Ir 0.769 0.123 0.499
3 Ir 0.000 0.000 0.500
4 Ir 0.123 0.354 0.999
5 B 0.037 0.828 0.750
6 Ir 0.769 0.123 0.001
7 B 0.790 0.963 0.750
8 B 0.172 0.210 0.750
9 B 0.828 0.790 0.250
10 Sn 0.590 0.498 0.750
11 Ir 0.000 0.000 0.000
12 Ir 0.231 0.877 0.999
13 Ir 0.354 0.231 0.499
14 Ir 0.646 0.769 0.999
15 Sn 0.410 0.502 0.250
16 Ir 0.646 0.769 0.501
17 Sn 0.502 0.092 0.750
18 Sn 0.908 0.410 0.750
19 Ir 0.354 0.231 0.001
20 Sn 0.498 0.908 0.250
21 Ir 0.877 0.646 0.499
22 Ir 0.231 0.877 0.501
23 B 0.210 0.037 0.250
24 Sn 0.333 0.667 0.750
25 Ir 0.877 0.646 0.001
26 Sn 0.092 0.590 0.250
27 Sn 0.667 0.333 0.250
28 B 0.963 0.172 0.250

=====

no.,mass density (g/cm³)
1,5.8
2,12.0
3,5.8
4,8.8
5,13.7
6,8.8
7,7.0
8,11.2
9,9.9
10,9.2
11,14.9
12,16.0
13,14.2